Entry 1:
Compound: KBeTc2
Source: Alexandria
Functional: PBE
Structure: optimized geometry

Output
ΔH_f (0 K) = 0.75 eV/atom

```
data_KBeTc2
_symmetry_space_group_name_H-M 'C m m m'
_symmetry_Int_Tables_number 65
_symmetry_space_group_name_Hall '-C 2 2'
_cell_length_a 3.276
_cell_length_b 4.133
_cell_length_c 9.526
_cell_angle_alpha 90.00
_cell_angle_beta 90.00
_cell_angle_gamma 90.00
loop_
_atom_site_label
_atom_site_fract_x
_atom_site_fract_y
_atom_site_fract_z
_atom_site_occupancy
K1 0.000 0.000 0.000 1
Be1 0.000 0.000 0.500 1
Tc1 0.000 0.500 0.314 1
```

Entry 2:
Compound: KBeTc2
Source: Alexandria
Functional: PBE
Structure: optimized geometry

Output
ΔH_f (0 K) = 1.52 eV/atom

```
data_KBeTc2
_symmetry_space_group_name_H-M 'P 4/m m m'
_symmetry_Int_Tables_number 123
_symmetry_space_group_name_Hall '-P 4 2'
_cell_length_a 3.752
_cell_length_b 3.752
_cell_length_c 4.807
_cell_angle_alpha 90.00
_cell_angle_beta 90.00
_cell_angle_gamma 90.00
loop_
_atom_site_label
_atom_site_fract_x
_atom_site_fract_y
_atom_site_fract_z
_atom_site_occupancy
K1 0.000 0.000 0.000 1
Be1 0.500 0.500 0.000 1
Tc1 0.000 0.500 0.500 1
```

Entry 3:
Compound: KBeTc2
Source: Alexandria
Functional: PBE
Structure: optimized geometry

Output
ΔH_f (0 K) = 1.35 eV/atom

```
data_KBeTc2
_symmetry_space_group_name_H-M 'I -4 2 d'
_symmetry_Int_Tables_number 122
_symmetry_space_group_name_Hall 'I -4 2bw'
_cell_length_a 4.133
_cell_length_b 4.133
_cell_length_c 18.037
_cell_angle_alpha 90.00
_cell_angle_beta 90.00
_cell_angle_gamma 90.00
loop_
_atom_site_label
_atom_site_fract_x
_atom_site_fract_y
_atom_site_fract_z
_atom_site_occupancy
K1 0.000 0.000 0.000 1
Be1 0.000 0.000 0.500 1
Tc1 0.146 0.750 0.625 1
```

Entry 4:
Compound: K2BeTc
Source: Alexandria
Functional: PBE
Structure: optimized geometry

Output
ΔH_f (0 K) = 1.43 eV/atom

```
data_K2BeTc
_symmetry_space_group_name_H-M 'C m m m'
_symmetry_Int_Tables_number 65
_symmetry_space_group_name_Hall '-C 2 2'
_cell_length_a 5.548
_cell_length_b 11.298
_cell_length_c 2.741
_cell_angle_alpha 90.00
_cell_angle_beta 90.00
_cell_angle_gamma 90.00
loop_
_atom_site_label
_atom_site_fract_x
_atom_site_fract_y
_atom_site_fract_z
_atom_site_occupancy
K1 0.250 0.250 0.000 1
Be1 0.000 0.000 0.500 1
Tc1 0.000 0.500 0.500 1
```

Entry 5:
Compound: KBeTc
Source: Alexandria
Functional: PBE
Structure: optimized geometry

Output
excess energy over the best structure of this formula in the dataset = 219 meV per atom
ΔH_f (0 K) = 1.02 eV/atom

```
data_KBeTc
_symmetry_space_group_name_H-M 'P 3 m 1'
_symmetry_Int_Tables_number 156
_cell_length_a 2.7904
_cell_length_b 2.7904
_cell_length_c 7.8160
_cell_angle_alpha 90.00
_cell_angle_beta 90.00
_cell_angle_gamma 120.00
loop_
_symmetry_equiv_pos_as_xyz
'x,y,z'
'-y,x-y,z'
'-x+y,-x,z'
'-y,-x,z'
'-x+y,y,z'
'x,x-y,z'
loop_
_atom_site_label
_atom_site_fract_x
_atom_site_fract_y
_atom_site_fract_z
_atom_site_occupancy
K1 0.0000 0.0000 0.0000 1
Be1 0.3333 0.6667 0.6175 1
Tc1 0.6667 0.3333 0.3786 1
```

Entry 6:
Compound: K2BeTc
Source: Alexandria
Functional: PBE
Structure: optimized geometry

Output
ΔH_f (0 K) = 1.44 eV/atom

```
data_K2BeTc
_symmetry_space_group_name_H-M 'P m m m'
_symmetry_Int_Tables_number 47
_cell_length_a 2.755
_cell_length_b 5.552
_cell_length_c 5.652
_cell_angle_alpha 90.00
_cell_angle_beta 90.00
_cell_angle_gamma 90.00
loop_
_symmetry_equiv_pos_as_xyz
'x,y,z'
'-x,-y,-z'
'-x,-y,z'
'x,y,-z'
'x,-y,-z'
'-x,y,z'
'-x,y,-z'
'x,-y,z'
loop_
_atom_site_label
_atom_site_fract_x
_atom_site_fract_y
_atom_site_fract_z
_atom_site_occupancy
K1 0.000 0.250 0.000 1
Be1 0.500 0.000 0.500 1
Tc1 0.500 0.500 0.500 1
```

Entry 7:
Compound: KBeTc2
Source: Alexandria
Functional: PBE
Structure: optimized geometry

Output
ΔH_f (0 K) = 0.68 eV/atom

```
data_KBeTc2
_symmetry_space_group_name_H-M 'P 1 2/m 1'
_symmetry_Int_Tables_number 10
_cell_length_a 3.007
_cell_length_b 3.045
_cell_length_c 8.077
_cell_angle_alpha 90.00
_cell_angle_beta 90.12
_cell_angle_gamma 90.00
loop_
_symmetry_equiv_pos_as_xyz
'x,y,z'
'-x,-y,-z'
'-x,y,-z'
'x,-y,z'
loop_
_atom_site_label
_atom_site_fract_x
_atom_site_fract_y
_atom_site_fract_z
_atom_site_occupancy
K1 0.000 0.000 0.000 1
Be1 0.000 0.000 0.500 1
Tc1 0.499 0.500 0.359 1
```

Entry 8:
Compound: KBeTc2
Source: Alexandria
Functional: PBE
Structure: optimized geometry

Output
ΔH_f (0 K) = 1.32 eV/atom

```
data_KBeTc2
_symmetry_space_group_name_H-M 'C m m m'
_symmetry_Int_Tables_number 65
_symmetry_space_group_name_Hall '-C 2 2'
_cell_length_a 5.369
_cell_length_b 9.960
_cell_length_c 2.499
_cell_angle_alpha 90.00
_cell_angle_beta 90.00
_cell_angle_gamma 90.00
loop_
_atom_site_label
_atom_site_fract_x
_atom_site_fract_y
_atom_site_fract_z
_atom_site_occupancy
K1 0.000 0.000 0.000 1
Be1 0.000 0.500 0.000 1
Tc1 0.250 0.250 0.500 1
```

Entry 9:
Compound: K2Be2Tc
Source: Alexandria
Functional: PBE
Structure: optimized geometry

Output
excess energy over the best structure of this formula in the dataset = 520 meV per atom
ΔH_f (0 K) = 1.57 eV/atom

```
data_K2Be2Tc
_symmetry_space_group_name_H-M 'P 4/m b m'
_symmetry_Int_Tables_number 127
_symmetry_space_group_name_Hall '-P 4 2ab'
_cell_length_a 9.666
_cell_length_b 9.666
_cell_length_c 2.583
_cell_angle_alpha 90.00
_cell_angle_beta 90.00
_cell_angle_gamma 90.00
loop_
_atom_site_label
_atom_site_fract_x
_atom_site_fract_y
_atom_site_fract_z
_atom_site_occupancy
K1 0.204 0.296 0.000 1
Be1 0.079 0.579 0.500 1
Tc1 0.000 0.000 0.000 1
```

Entry 10:
Compound: KBeTc
Source: Alexandria
Functional: PBE
Structure: optimized geometry

Output
excess energy over the best structure of this formula in the dataset = 1703 meV per atom
ΔH_f (0 K) = 2.50 eV/atom

```
data_KBeTc
_symmetry_space_group_name_H-M 'F -4 3 m'
_symmetry_Int_Tables_number 216
_symmetry_space_group_name_Hall 'F -4 2 3'
_cell_length_a 6.742
_cell_length_b 6.742
_cell_length_c 6.742
_cell_angle_alpha 90.00
_cell_angle_beta 90.00
_cell_angle_gamma 90.00
loop_
_atom_site_label
_atom_site_fract_x
_atom_site_fract_y
_atom_site_fract_z
_atom_site_occupancy
K1 0.000 0.000 0.000 1
Be1 0.250 0.250 0.250 1
Tc1 0.250 0.250 0.750 1
```

Entry 11:
Compound: K2BeTc
Source: Alexandria
Functional: PBE
Structure: optimized geometry

Output
ΔH_f (0 K) = 1.05 eV/atom

```
data_K2BeTc
_symmetry_space_group_name_H-M 'I m m 2'
_symmetry_Int_Tables_number 44
_cell_length_a 3.459
_cell_length_b 5.833
_cell_length_c 11.661
_cell_angle_alpha 90.00
_cell_angle_beta 90.00
_cell_angle_gamma 90.00
loop_
_symmetry_equiv_pos_as_xyz
'x,y,z'
'-x,-y,z'
'-x,y,z'
'x,-y,z'
'x+1/2,y+1/2,z+1/2'
'-x+1/2,-y+1/2,z+1/2'
'-x+1/2,y+1/2,z+1/2'
'x+1/2,-y+1/2,z+1/2'
loop_
_atom_site_label
_atom_site_fract_x
_atom_site_fract_y
_atom_site_fract_z
_atom_site_occupancy
K1 0.000 0.000 0.000 1
K2 0.000 0.500 0.201 1
Be1 0.000 0.000 0.427 1
Tc1 0.000 0.500 0.813 1
```

Entry 12:
Compound: K2BeTc
Source: Alexandria
Functional: PBE
Structure: optimized geometry

Output
ΔH_f (0 K) = 1.42 eV/atom

```
data_K2BeTc
_symmetry_space_group_name_H-M 'C 1 2/m 1'
_symmetry_Int_Tables_number 12
_cell_length_a 5.667
_cell_length_b 11.535
_cell_length_c 2.776
_cell_angle_alpha 90.00
_cell_angle_beta 114.18
_cell_angle_gamma 90.00
loop_
_symmetry_equiv_pos_as_xyz
'x,y,z'
'-x,-y,-z'
'-x,y,-z'
'x,-y,z'
'x+1/2,y+1/2,z'
'-x+1/2,-y+1/2,-z'
'-x+1/2,y+1/2,-z'
'x+1/2,-y+1/2,z'
loop_
_atom_site_label
_atom_site_fract_x
_atom_site_fract_y
_atom_site_fract_z
_atom_site_occupancy
K1 0.250 0.250 0.000 1
Be1 0.000 0.000 0.500 1
Tc1 0.000 0.500 0.500 1
```

Entry 13:
Compound: KBeTc3
Source: Alexandria
Functional: PBE
Structure: optimized geometry

Output
excess energy over the best structure of this formula in the dataset = 0 meV per atom
ΔH_f (0 K) = 1.48 eV/atom

```
data_KBeTc3
_symmetry_space_group_name_H-M 'P m -3 m'
_symmetry_Int_Tables_number 221
_symmetry_space_group_name_Hall '-P 4 2 3'
_cell_length_a 4.387
_cell_length_b 4.387
_cell_length_c 4.387
_cell_angle_alpha 90.00
_cell_angle_beta 90.00
_cell_angle_gamma 90.00
loop_
_atom_site_label
_atom_site_fract_x
_atom_site_fract_y
_atom_site_fract_z
_atom_site_occupancy
K1 0.000 0.000 0.000 1
Be1 0.500 0.500 0.500 1
Tc1 0.000 0.500 0.500 1
```

Entry 14:
Compound: KBeTc3
Source: Alexandria
Functional: PBE
Structure: optimized geometry

Output
excess energy over the best structure of this formula in the dataset = 1813 meV per atom
ΔH_f (0 K) = 3.29 eV/atom

```
data_KBeTc3
_symmetry_space_group_name_H-M 'P m -3 m'
_symmetry_Int_Tables_number 221
_symmetry_space_group_name_Hall '-P 4 2 3'
_cell_length_a 4.470
_cell_length_b 4.470
_cell_length_c 4.470
_cell_angle_alpha 90.00
_cell_angle_beta 90.00
_cell_angle_gamma 90.00
loop_
_atom_site_label
_atom_site_fract_x
_atom_site_fract_y
_atom_site_fract_z
_atom_site_occupancy
K1 0.000 0.000 0.000 1
Be1 0.500 0.500 0.500 1
Tc1 0.000 0.000 0.500 1
```

Entry 15:
Compound: K2BeTc
Source: Alexandria
Functional: PBE
Structure: optimized geometry

Output
ΔH_f (0 K) = 0.72 eV/atom

```
data_K2BeTc
_symmetry_space_group_name_H-M 'C 1 2/m 1'
_symmetry_Int_Tables_number 12
_cell_length_a 20.441
_cell_length_b 3.195
_cell_length_c 3.436
_cell_angle_alpha 90.00
_cell_angle_beta 97.35
_cell_angle_gamma 90.00
loop_
_symmetry_equiv_pos_as_xyz
'x,y,z'
'-x,-y,-z'
'-x,y,-z'
'x,-y,z'
'x+1/2,y+1/2,z'
'-x+1/2,-y+1/2,-z'
'-x+1/2,y+1/2,-z'
'x+1/2,-y+1/2,z'
loop_
_atom_site_label
_atom_site_fract_x
_atom_site_fract_y
_atom_site_fract_z
_atom_site_occupancy
K1 0.143 0.000 0.108 1
Be1 0.000 0.500 0.000 1
Tc1 0.000 0.000 0.500 1
```

Entry 16:
Compound: KBeTc2
Source: Alexandria
Functional: PBE
Structure: optimized geometry

Output
ΔH_f (0 K) = 0.81 eV/atom

```
data_KBeTc2
_symmetry_space_group_name_H-M 'C m m 2'
_symmetry_Int_Tables_number 35
_cell_length_a 2.987
_cell_length_b 4.579
_cell_length_c 9.934
_cell_angle_alpha 90.00
_cell_angle_beta 90.00
_cell_angle_gamma 90.00
loop_
_symmetry_equiv_pos_as_xyz
'x,y,z'
'-x,-y,z'
'-x,y,z'
'x,-y,z'
'x+1/2,y+1/2,z'
'-x+1/2,-y+1/2,z'
'-x+1/2,y+1/2,z'
'x+1/2,-y+1/2,z'
loop_
_atom_site_label
_atom_site_fract_x
_atom_site_fract_y
_atom_site_fract_z
_atom_site_occupancy
K1 0.000 0.000 0.000 1
Be1 0.000 0.500 0.700 1
Tc1 0.000 0.000 0.511 1
Tc2 0.000 0.500 0.297 1
```

Entry 17:
Compound: K2TiBeTc
Source: Alexandria
Functional: PBE
Structure: optimized geometry

Output
ΔH_f (0 K) = 1.74 eV/atom

```
data_K2TiBeTc
_symmetry_space_group_name_H-M 'P 4/m m m'
_symmetry_Int_Tables_number 123
_symmetry_space_group_name_Hall '-P 4 2'
_cell_length_a 6.112
_cell_length_b 6.112
_cell_length_c 4.343
_cell_angle_alpha 90.00
_cell_angle_beta 90.00
_cell_angle_gamma 90.00
loop_
_atom_site_label
_atom_site_fract_x
_atom_site_fract_y
_atom_site_fract_z
_atom_site_occupancy
K1 0.000 0.500 0.000 1
Ti1 0.000 0.000 0.500 1
Be1 0.500 0.500 0.000 1
Tc1 0.500 0.500 0.500 1
```

Entry 18:
Compound: KYBeTc2
Source: Alexandria
Functional: PBE
Structure: optimized geometry

Output
ΔH_f (0 K) = 2.27 eV/atom

```
data_KYBeTc2
_symmetry_space_group_name_H-M 'P 4/m m m'
_symmetry_Int_Tables_number 123
_symmetry_space_group_name_Hall '-P 4 2'
_cell_length_a 5.030
_cell_length_b 5.030
_cell_length_c 5.907
_cell_angle_alpha 90.00
_cell_angle_beta 90.00
_cell_angle_gamma 90.00
loop_
_atom_site_label
_atom_site_fract_x
_atom_site_fract_y
_atom_site_fract_z
_atom_site_occupancy
K1 0.000 0.000 0.000 1
Y1 0.000 0.000 0.500 1
Be1 0.500 0.500 0.000 1
Tc1 0.000 0.500 0.500 1
```

Entry 19:
Compound: K2BeZnTc
Source: Alexandria
Functional: PBE
Structure: optimized geometry

Output
ΔH_f (0 K) = 1.37 eV/atom

```
data_K2BeZnTc
_symmetry_space_group_name_H-M 'P 4/m m m'
_symmetry_Int_Tables_number 123
_symmetry_space_group_name_Hall '-P 4 2'
_cell_length_a 6.223
_cell_length_b 6.223
_cell_length_c 4.375
_cell_angle_alpha 90.00
_cell_angle_beta 90.00
_cell_angle_gamma 90.00
loop_
_atom_site_label
_atom_site_fract_x
_atom_site_fract_y
_atom_site_fract_z
_atom_site_occupancy
K1 0.000 0.500 0.000 1
Be1 0.000 0.000 0.500 1
Zn1 0.000 0.000 0.000 1
Tc1 0.500 0.500 0.500 1
```

Entry 20:
Compound: KZrBeTc2
Source: Alexandria
Functional: PBE
Structure: optimized geometry

Output
ΔH_f (0 K) = 1.13 eV/atom

```
data_KZrBeTc2
_symmetry_space_group_name_H-M 'P 4/m m m'
_symmetry_Int_Tables_number 123
_symmetry_space_group_name_Hall '-P 4 2'
_cell_length_a 4.391
_cell_length_b 4.391
_cell_length_c 4.862
_cell_angle_alpha 90.00
_cell_angle_beta 90.00
_cell_angle_gamma 90.00
loop_
_atom_site_label
_atom_site_fract_x
_atom_site_fract_y
_atom_site_fract_z
_atom_site_occupancy
K1 0.000 0.000 0.000 1
Zr1 0.500 0.500 0.000 1
Be1 0.500 0.500 0.500 1
Tc1 0.000 0.500 0.500 1
```